one) The following is a DFT calculation (PBE) of PmCdGe2 after structural relaxation.

abc: 3.7296 3.7296 6.5232
angles: 90.00 90.00 90.00
Element x y z (fractional)
Ge: 0.0000 0.0000 0.7908
Ge: 0.0000 0.0000 0.2092
Cd: 0.5000 0.5000 0.0000
Pm: 0.5000 0.5000 0.5000

## Properties
* crystal system: tetragonal
* space group: No. 123



two) The following is a DFT calculation (PBE) of PmCdGe2 after structural relaxation.

abc: 4.9743 4.9743 7.2909
angles: 70.05 70.05 60.00
Element x y z (fractional)
Cd: 0.0000 0.0000 0.0000
Pm: 0.5000 0.5000 0.5000
Ge: 0.1307 0.1307 0.6079
Ge: 0.8693 0.8693 0.3921

## Properties
* crystal system: trigonal
* space group: No. 166



three) The following is a DFT calculation (PBE) of PmCdGe2 after structural relaxation.

abc: 5.0409 5.0409 5.0409
angles: 60.00 60.00 60.00
Element x y z (fractional)
Pm: 0.0000 0.0000 0.0000
Ge: 0.2500 0.2500 0.2500
Ge: 0.7500 0.7500 0.7500
Cd: 0.5000 0.5000 0.5000

## Properties
* crystal system: cubic
* space group: No. 225



Winner for stability: three)



one) The following is a DFT calculation (PBE) of Pm2CdGe3 after structural relaxation.

abc: 4.3665 6.9843 18.5800
angles: 90.00 90.00 90.00
Element x y z (fractional)
Ge: 0.7500 0.8667 0.6917
Ge: 0.7500 0.7299 0.4658
Ge: 0.2500 0.5005 0.3192
Ge: 0.7500 0.3667 0.8083
Ge: 0.2500 0.0005 0.1808
Ge: 0.2500 0.1333 0.3083
Ge: 0.7500 0.4995 0.6808
Ge: 0.2500 0.6333 0.1917
Ge: 0.2500 0.2701 0.5342
Ge: 0.2500 0.7701 0.9658
Ge: 0.7500 0.2299 0.0342
Ge: 0.7500 0.9995 0.8192
Pm: 0.2500 0.6785 0.5855
Pm: 0.2500 0.1899 0.7010
Pm: 0.7500 0.3101 0.2010
Pm: 0.7500 0.8101 0.2990
Pm: 0.7500 0.3215 0.4145
Pm: 0.2500 0.1785 0.9145
Pm: 0.2500 0.6899 0.7990
Pm: 0.7500 0.8215 0.0855
Cd: 0.7500 0.5521 0.9378
Cd: 0.2500 0.9479 0.4378
Cd: 0.7500 0.0521 0.5622
Cd: 0.2500 0.4479 0.0622

## Properties
* crystal system: orthorhombic
* space group: No. 62



two) The following is a DFT calculation (PBE) of Pm2CdGe3 after structural relaxation.

abc: 6.0594 6.0594 8.8289
angles: 111.78 111.78 85.35
Element x y z (fractional)
Pm: 0.2500 0.7500 0.5000
Pm: 0.7592 0.2408 0.0000
Pm: 0.7500 0.2500 0.5000
Pm: 0.2408 0.7592 0.0000
Ge: 0.6695 0.6695 0.8362
Ge: 0.3305 0.3305 0.1638
Ge: 0.1644 0.1644 0.3288
Ge: 0.8356 0.8356 0.6712
Ge: 0.8334 0.8334 0.1638
Ge: 0.1666 0.1666 0.8362
Cd: 0.6653 0.6653 0.3307
Cd: 0.3347 0.3347 0.6693

## Properties
* crystal system: orthorhombic
* space group: No. 69



Winner for stability: one)



one) The following is a DFT calculation (PBE) of PmCd2Ge after structural relaxation.

abc: 3.2599 3.2599 11.2983
angles: 81.71 81.71 60.00
Element x y z (fractional)
Ge: 0.5000 0.5000 0.5000
Pm: 0.0000 0.0000 0.0000
Cd: 0.0952 0.0952 0.7145
Cd: 0.9048 0.9048 0.2855

## Properties
* crystal system: trigonal
* space group: No. 166



two) The following is a DFT calculation (PBE) of PmCd2Ge after structural relaxation.

abc: 4.5879 5.4781 8.1454
angles: 96.02 90.00 90.00
Element x y z (fractional)
Ge: 0.2500 0.7153 0.6368
Ge: 0.7500 0.2847 0.3632
Pm: 0.7500 0.4670 0.7858
Pm: 0.2500 0.5330 0.2142
Cd: 0.7500 0.8126 0.4650
Cd: 0.2500 0.1874 0.5350
Cd: 0.2500 0.0675 0.9084
Cd: 0.7500 0.9325 0.0916

## Properties
* crystal system: monoclinic
* space group: No. 11



three) The following is a DFT calculation (PBE) of PmCd2Ge after structural relaxation.

abc: 4.9427 4.3470 4.3470
angles: 90.00 90.00 90.00
Element x y z (fractional)
Cd: 0.0000 0.0000 0.5000
Cd: 0.0000 0.5000 0.0000
Pm: 0.5000 0.0000 0.0000
Ge: 0.5000 0.5000 0.5000

## Properties
* crystal system: tetragonal
* space group: No. 123



Winner for stability: three)



one) The following is a DFT calculation (PBE) of CdGePt2 after structural relaxation.

abc: 4.5825 4.5825 4.5825
angles: 60.00 60.00 60.00
Element x y z (fractional)
Pt: 0.2500 0.2500 0.2500
Pt: 0.7500 0.7500 0.7500
Ge: 0.0000 0.0000 0.0000
Cd: 0.5000 0.5000 0.5000

## Properties
* crystal system: cubic
* space group: No. 225



two) The following is a DFT calculation (PBE) of CdGePt2 after structural relaxation.

abc: 7.2099 7.2099 5.8268
angles: 51.78 51.78 90.00
Element x y z (fractional)
Pt: 0.8750 0.8315 0.7500
Pt: 0.5815 0.1250 0.2500
Pt: 0.3750 0.4185 0.7500
Pt: 0.1685 0.6250 0.2500
Cd: 0.0000 0.0000 0.0000
Cd: 0.7500 0.2500 0.5000
Ge: 0.2500 0.7500 0.5000
Ge: 0.5000 0.5000 0.0000

## Properties
* crystal system: tetragonal
* space group: No. 122



Winner for stability: one)



one) The following is a DFT calculation (PBE) of PuCd2Ge after structural relaxation.

abc: 3.1146 3.1146 11.5773
angles: 82.27 82.27 60.00
Element x y z (fractional)
Pu: 0.0000 0.0000 0.0000
Cd: 0.0929 0.0929 0.7213
Cd: 0.9071 0.9071 0.2787
Ge: 0.5000 0.5000 0.5000

## Properties
* crystal system: trigonal
* space group: No. 166



two) The following is a DFT calculation (PBE) of PuCd2Ge after structural relaxation.

abc: 5.0154 4.2844 4.2844
angles: 90.00 90.00 90.00
Element x y z (fractional)
Pu: 0.5000 0.0000 0.0000
Cd: 0.0000 0.5000 0.0000
Cd: 0.0000 0.0000 0.5000
Ge: 0.5000 0.5000 0.5000

## Properties
* crystal system: tetragonal
* space group: No. 123



Winner for stability: two)



one) The following is a DFT calculation (PBE) of Rb3CdGe after structural relaxation.

abc: 9.5542 9.5542 7.9895
angles: 110.06 117.51 109.09
Element x y z (fractional)
Rb: 0.7162 0.4700 0.1862
Rb: 0.7792 0.0196 0.1850
Rb: 0.1653 0.4058 0.1850
Rb: 0.8347 0.5942 0.8150
Rb: 0.2208 0.9804 0.8150
Rb: 0.2838 0.5300 0.8138
Cd: 0.3140 0.1495 0.4635
Cd: 0.6860 0.8505 0.5365
Ge: 0.3818 0.8981 0.2799
Ge: 0.6182 0.1019 0.7201

## Properties
* crystal system: monoclinic
* space group: No. 12



two) The following is a DFT calculation (PBE) of Rb3CdGe after structural relaxation.

abc: 6.8713 6.8713 6.8713
angles: 90.00 90.00 90.00
Element x y z (fractional)
Ge: 0.0000 0.0000 0.0000
Rb: 0.0000 0.5000 0.0000
Rb: 0.0000 0.0000 0.5000
Rb: 0.5000 0.0000 0.0000
Cd: 0.5000 0.5000 0.5000

## Properties
* crystal system: cubic
* space group: No. 221



Winner for stability: one)



one) The following is a DFT calculation (PBE) of RbCd2Ge2 after structural relaxation.

abc: 8.9603 8.9603 3.1282
angles: 90.00 90.00 90.00
Element x y z (fractional)
Cd: 0.3711 0.8711 0.0000
Cd: 0.8711 0.6289 0.0000
Cd: 0.6289 0.1289 0.0000
Cd: 0.1289 0.3711 0.0000
Ge: 0.6588 0.8412 0.5000
Ge: 0.3412 0.1588 0.5000
Ge: 0.8412 0.3412 0.5000
Ge: 0.1588 0.6588 0.5000
Rb: 0.5000 0.5000 0.0000
Rb: 0.0000 0.0000 0.0000

## Properties
* crystal system: tetragonal
* space group: No. 127



two) The following is a DFT calculation (PBE) of RbCd2Ge2 after structural relaxation.

abc: 4.7939 4.7939 6.6287
angles: 68.80 68.80 90.00
Element x y z (fractional)
Ge: 0.3873 0.3873 0.2253
Ge: 0.6127 0.6127 0.7747
Cd: 0.2500 0.7500 0.5000
Cd: 0.7500 0.2500 0.5000
Rb: 0.0000 0.0000 0.0000

## Properties
* crystal system: tetragonal
* space group: No. 139



Winner for stability: two)



one) The following is a DFT calculation (PBE) of RbCd3Ge after structural relaxation.

abc: 5.5956 5.5956 5.5956
angles: 90.00 90.00 90.00
Element x y z (fractional)
Ge: 0.0000 0.0000 0.0000
Cd: 0.0000 0.0000 0.5000
Cd: 0.5000 0.0000 0.0000
Cd: 0.0000 0.5000 0.0000
Rb: 0.5000 0.5000 0.5000

## Properties
* crystal system: cubic
* space group: No. 221



two) The following is a DFT calculation (PBE) of RbCd3Ge after structural relaxation.

abc: 6.7598 6.7598 6.7598
angles: 90.00 90.00 90.00
Element x y z (fractional)
Ge: 0.5000 0.5000 0.5000
Cd: 0.0000 0.0000 0.5000
Cd: 0.5000 0.0000 0.0000
Cd: 0.0000 0.5000 0.0000
Rb: 0.0000 0.0000 0.0000

## Properties
* crystal system: cubic
* space group: No. 221



Winner for stability: one)



one) The following is a DFT calculation (PBE) of CdRe2Ge after structural relaxation.

abc: 7.5406 7.5406 5.9067
angles: 50.33 50.33 90.00
Element x y z (fractional)
Ge: 0.5000 0.5000 0.0000
Ge: 0.2500 0.7500 0.5000
Re: 0.3750 0.4352 0.7500
Re: 0.5648 0.1250 0.2500
Re: 0.1852 0.6250 0.2500
Re: 0.8750 0.8148 0.7500
Cd: 0.7500 0.2500 0.5000
Cd: 0.0000 0.0000 0.0000

## Properties
* crystal system: tetragonal
* space group: No. 122



two) The following is a DFT calculation (PBE) of CdRe2Ge after structural relaxation.

abc: 4.4724 4.4724 4.4724
angles: 60.00 60.00 60.00
Element x y z (fractional)
Ge: 0.0000 0.0000 0.0000
Re: 0.7500 0.7500 0.7500
Re: 0.2500 0.2500 0.2500
Cd: 0.5000 0.5000 0.5000

## Properties
* crystal system: cubic
* space group: No. 225



Winner for stability: two)



one) The following is a DFT calculation (PBE) of CdGe2Rh2 after structural relaxation.

abc: 3.7863 3.7863 6.5801
angles: 73.28 73.28 90.00
Element x y z (fractional)
Ge: 0.2500 0.7500 0.5000
Ge: 0.7500 0.2500 0.5000
Rh: 0.3847 0.3847 0.2307
Rh: 0.6153 0.6153 0.7693
Cd: 0.0000 0.0000 0.0000

## Properties
* crystal system: tetragonal
* space group: No. 139



two) The following is a DFT calculation (PBE) of CdGe2Rh2 after structural relaxation.

abc: 4.2564 4.2564 5.7476
angles: 68.27 68.27 90.00
Element x y z (fractional)
Ge: 0.3752 0.3752 0.2495
Ge: 0.6248 0.6248 0.7505
Rh: 0.2500 0.7500 0.5000
Rh: 0.7500 0.2500 0.5000
Cd: 0.0000 0.0000 0.0000

## Properties
* crystal system: tetragonal
* space group: No. 139



three) The following is a DFT calculation (PBE) of CdGe2Rh2 after structural relaxation.

abc: 7.3359 7.3359 3.0097
angles: 90.00 90.00 90.00
Element x y z (fractional)
Rh: 0.8544 0.6456 0.0000
Rh: 0.6456 0.1456 0.0000
Rh: 0.1456 0.3544 0.0000
Rh: 0.3544 0.8544 0.0000
Cd: 0.5000 0.5000 0.0000
Cd: 0.0000 0.0000 0.0000
Ge: 0.8507 0.3507 0.5000
Ge: 0.1493 0.6493 0.5000
Ge: 0.3507 0.1493 0.5000
Ge: 0.6493 0.8507 0.5000

## Properties
* crystal system: tetragonal
* space group: No. 127



Winner for stability: two)



one) The following is a DFT calculation (PBE) of CdGeRh3 after structural relaxation.

abc: 4.5507 4.5507 4.5507
angles: 90.00 90.00 90.00
Element x y z (fractional)
Cd: 0.5000 0.5000 0.5000
Ge: 0.0000 0.0000 0.0000
Rh: 0.0000 0.0000 0.5000
Rh: 0.0000 0.5000 0.0000
Rh: 0.5000 0.0000 0.0000

## Properties
* crystal system: cubic
* space group: No. 221



two) The following is a DFT calculation (PBE) of CdGeRh3 after structural relaxation.

abc: 4.8409 4.8409 4.8409
angles: 90.00 90.00 90.00
Element x y z (fractional)
Rh: 0.5000 0.0000 0.0000
Rh: 0.0000 0.5000 0.0000
Rh: 0.0000 0.0000 0.5000
Ge: 0.5000 0.5000 0.5000
Cd: 0.0000 0.0000 0.0000

## Properties
* crystal system: cubic
* space group: No. 221



Winner for stability: one)